(1)
Below is an optimized crystal structure of Co2Ge2W, with properties calculated at the GGA-PBE level.

Output
Its calculated formation energy is 0.02 eV/atom. The calculation puts the calculated total energy at -7.2577 eV per atom. For the relative energy among the computed polymorphs, the calculation gives 0.000 eV/atom. As for the total magnetization: 0.00 Bohr magnetons per cell.

abc: 6.9589 6.9589 2.6904
angles: 90.00 90.00 90.00
Last column: nearest neighbours and their distance in Å.
Fractional positions:
W  0.0000  0.0000  0.0000  4 Ge 2.66, 2 W 2.69, 8 Co 2.97
Ge  0.8524  0.6476  0.0000  6 Co 2.41-2.47, 2 W 2.66, 2 Ge 2.69
Ge  0.6476  0.1476  0.0000  6 Co 2.41-2.47, 2 W 2.66, 2 Ge 2.69
Co  0.8503  0.3503  0.5000  6 Ge 2.41-2.47, 2 Co 2.69
Ge  0.1476  0.3524  0.0000  6 Co 2.41-2.47, 2 W 2.66, 2 Ge 2.69
Ge  0.3524  0.8524  0.0000  6 Co 2.41-2.47, 2 W 2.66, 2 Ge 2.69
W  0.5000  0.5000  0.0000  4 Ge 2.66, 2 W 2.69, 8 Co 2.97
Co  0.6497  0.8503  0.5000  6 Ge 2.41-2.47, 2 Co 2.69
Co  0.1497  0.6497  0.5000  6 Ge 2.41-2.47, 2 Co 2.69
Co  0.3503  0.1497  0.5000  6 Ge 2.41-2.47, 2 Co 2.69

(2)
Below is an optimized crystal structure of Tl2Ag5Br12, with properties calculated at the GGA-PBE level.

Output
The calculation puts the calculated total energy at -2.4085 eV per atom. Its formation energy from raw total energies is -0.352 eV per atom. As for the total magnetization: 0.00 Bohr magnetons per cell.

abc: 10.2504 13.3700 8.3022
angles: 111.27 74.74 139.56
Last column: nearest neighbours and their distance in Å.
Fractional positions:
Br  0.5223  0.2154  0.9638  1 Tl 2.70, 1 Ag 2.73
Br  0.4429  0.0801  0.4046  1 Tl 2.62
Br  0.9947  0.2885  0.0223  1 Tl 2.67, 1 Ag 2.86
Br  0.5571  0.9199  0.5954  1 Tl 2.62
Br  0.4535  0.5310  0.3209  2 Ag 2.54-2.59
Ag  0.0000  0.5000  0.0000  4 Br 2.65-2.86
Ag  0.7901  0.4564  0.6260  3 Br 2.54-2.82
Br  0.0150  0.5892  0.3423  3 Ag 2.58-2.82
Br  0.9850  0.4108  0.6577  3 Ag 2.58-2.82
Tl  0.7541  0.9864  0.8339  4 Br 2.62-2.70
Ag  0.3583  0.2090  0.7444  3 Br 2.59-2.73
Br  0.0053  0.7115  0.9777  1 Tl 2.67, 1 Ag 2.86
Ag  0.2099  0.5436  0.3740  3 Br 2.54-2.82
Br  0.0318  0.0674  0.2787  1 Tl 2.65, 1 Ag 2.66
Br  0.9682  0.9326  0.7213  1 Tl 2.65, 1 Ag 2.66
Ag  0.6417  0.7910  0.2556  3 Br 2.59-2.73
Br  0.5465  0.4690  0.6791  2 Ag 2.54-2.59
Br  0.4777  0.7846  0.0362  1 Tl 2.70, 1 Ag 2.73
Tl  0.2459  0.0136  0.1661  4 Br 2.62-2.70

(3)
Below is an optimized crystal structure of Cu2AgCl, with properties calculated at the GGA-PBE level.

Output
The calculation puts the calculated total energy at -2.9008 eV per atom. Its formation energy from raw total energies is 0.322 eV per atom. For the relative energy among the computed polymorphs, the calculation gives 0.337 eV/atom. As for the total magnetization: 0.00 Bohr magnetons per cell.

abc: 6.6067 6.6067 5.7233
angles: 54.75 54.75 90.00
Last column: nearest neighbours and their distance in Å.
Fractional positions:
Ag  0.0000  0.0000  0.0000  4 Cu 2.62
Cu  0.5943  0.1250  0.2500  2 Cl 2.35, 2 Ag 2.62
Cu  0.3750  0.4057  0.7500  2 Cl 2.35, 2 Ag 2.62
Cl  0.2500  0.7500  0.5000  4 Cu 2.35
Cu  0.1557  0.6250  0.2500  2 Cl 2.35, 2 Ag 2.62
Cl  0.5000  0.5000  0.0000  4 Cu 2.35
Ag  0.7500  0.2500  0.5000  4 Cu 2.62
Cu  0.8750  0.8443  0.7500  2 Cl 2.35, 2 Ag 2.62

(4)
Below is an optimized crystal structure of SmHo2Al2Zn2, with properties calculated at the GGA-PBE level.

Output
Its calculated formation energy is -0.31 eV/atom. The calculation puts the calculated total energy at -3.7253 eV per atom. As for the total magnetization: 0.00 Bohr magnetons per cell.

abc: 4.5225 4.5225 9.4757
angles: 76.19 76.19 60.00
Last column: nearest neighbours and their distance in Å.
Fractional positions:
Ho  0.8715  0.8715  0.3854  3 Al 3.02, 3 Zn 3.07, 3 Ho 3.34
Al  0.2607  0.2607  0.2179  3 Zn 2.61
Sm  0.0000  0.0000  0.0000  6 Zn 3.23, 6 Al 3.28, 2 Ho 3.51
Al  0.7393  0.7393  0.7821  3 Zn 2.61
Zn  0.4027  0.4027  0.7918  3 Al 2.61
Ho  0.1285  0.1285  0.6146  3 Al 3.02, 3 Zn 3.07, 3 Ho 3.34
Zn  0.5973  0.5973  0.2082  3 Al 2.61

(5)
Below is an optimized crystal structure of Hg3ICl, with properties calculated at the GGA-PBE level.

Output
The calculation puts the calculated total energy at -0.9587 eV per atom. Its formation energy from raw total energies is -0.098 eV per atom. For the relative energy among the computed polymorphs, the calculation gives 0.000 eV/atom. As for the total magnetization: 0.00 Bohr magnetons per cell.

abc: 7.4244 7.4244 8.7079
angles: 64.77 64.77 60.00
Last column: nearest neighbours and their distance in Å.
Fractional positions:
Cl  0.2511  0.2511  0.2468  3 Hg 2.84
Hg  0.3752  0.8361  0.2149  1 Cl 2.84, 2 Hg 2.97, 1 I 3.04
Hg  0.8361  0.5738  0.2149  1 Cl 2.84, 2 Hg 2.97, 1 I 3.04
Hg  0.8752  0.0738  0.7149  1 Cl 2.84, 2 Hg 2.97, 1 I 3.04
Hg  0.0738  0.3361  0.7149  1 Cl 2.84, 2 Hg 2.97, 1 I 3.04
I  0.4354  0.4354  0.6939  3 Hg 3.04
Hg  0.3361  0.8752  0.7149  1 Cl 2.84, 2 Hg 2.97, 1 I 3.04
I  0.9354  0.9354  0.1939  3 Hg 3.04
Hg  0.5738  0.3752  0.2149  1 Cl 2.84, 2 Hg 2.97, 1 I 3.04
Cl  0.7511  0.7511  0.7468  3 Hg 2.84

(6)
Below is an optimized crystal structure of Cu2IrAu, with properties calculated at the GGA-PBE level.

Output
Its calculated formation energy is 0.22 eV/atom. The calculation puts the calculated total energy at -4.8650 eV per atom. As for the total magnetization: 0.00 Bohr magnetons per cell.

abc: 4.4343 2.6793 4.9128
angles: 87.92 90.00 90.00
Last column: nearest neighbours and their distance in Å.
Fractional positions:
Au  0.5000  0.7500  0.7500  4 Cu 2.65, 2 Au 2.68, 4 Ir 2.75-2.84
Ir  0.5000  0.2500  0.2500  4 Cu 2.62, 2 Ir 2.68, 4 Au 2.75-2.84
Cu  0.0000  0.9609  0.0194  4 Cu 2.50-2.79, 2 Ir 2.62, 2 Au 2.65
Cu  0.0000  0.5391  0.4806  4 Cu 2.50-2.79, 2 Ir 2.62, 2 Au 2.65

(7)
Below is an optimized crystal structure of Tb2Ce3ScTe6, with properties calculated at the GGA-PBE level.

Output
The calculation puts the calculated total energy at -5.6618 eV per atom. Its formation energy from raw total energies is -1.308 eV per atom. As for the total magnetization: 3.79 Bohr magnetons per cell.

abc: 4.3592 8.8825 9.8735
angles: 103.98 102.75 90.00
Last column: nearest neighbours and their distance in Å.
Fractional positions:
Ce  0.1701  0.8357  0.3402  6 Te 3.16-3.19
Te  0.9997  0.7669  0.9994  2 Sc 3.01, 1 Tb 3.10, 3 Ce 3.19-3.22
Te  0.0003  0.2331  0.0006  2 Sc 3.01, 1 Tb 3.10, 3 Ce 3.19-3.22
Te  0.6589  0.0857  0.3178  1 Sc 2.97, 2 Tb 3.07, 3 Ce 3.16-3.19
Ce  0.8299  0.1643  0.6598  6 Te 3.16-3.19
Te  0.3411  0.9143  0.6822  1 Sc 2.97, 2 Tb 3.07, 3 Ce 3.16-3.19
Ce  0.5000  0.5000  0.0000  6 Te 3.15-3.22
Sc  0.5000  0.0000  0.0000  6 Te 2.97-3.01
Te  0.3311  0.4218  0.6622  3 Tb 3.07-3.08, 3 Ce 3.15-3.16
Tb  0.8338  0.6669  0.6676  6 Te 3.07-3.10
Te  0.6689  0.5782  0.3378  3 Tb 3.07-3.08, 3 Ce 3.15-3.16
Tb  0.1662  0.3331  0.3324  6 Te 3.07-3.10

(8)
Below is an optimized crystal structure of PdAu3Cl9, with properties calculated at the GGA-PBE level.

Output
The calculation puts the calculated total energy at -2.7005 eV per atom. Its formation energy from raw total energies is -0.266 eV per atom. As for the total magnetization: 0.00 Bohr magnetons per cell.

abc: 7.7152 10.8813 11.6849
angles: 88.12 70.72 69.24
Last column: nearest neighbours and their distance in Å.
Fractional positions:
Cl  0.2376  0.0604  0.6561  1 Pd 2.33, 1 Au 2.39
Cl  0.5542  0.5625  0.3370  1 Au 2.32
Cl  0.3468  0.3803  0.9161  1 Pd 2.34, 1 Au 2.34
Au  0.2626  0.9010  0.8016  4 Cl 2.29-2.39
Cl  0.9752  0.0507  0.9327  1 Au 2.30
Cl  0.6692  0.6182  0.0432  1 Pd 2.33, 1 Au 2.35
Cl  0.5583  0.7510  0.6594  2 Au 2.31-2.38
Au  0.0348  0.4010  0.3016  4 Cl 2.29-2.39
Cl  0.0458  0.5604  0.1561  1 Pd 2.33, 1 Au 2.39
Pd  0.5182  0.9947  0.4812  4 Cl 2.33-2.34
Cl  0.5462  0.0625  0.8370  1 Au 2.32
Cl  0.4870  0.9343  0.1251  1 Au 2.31
Cl  0.8048  0.9188  0.3103  1 Au 2.30, 1 Pd 2.34
Au  0.9170  0.0870  0.2421  2 Cl 2.30-2.31
Pd  0.0058  0.4947  0.9812  4 Cl 2.33-2.34
Cl  0.4536  0.4343  0.6251  1 Au 2.31
Cl  0.3568  0.8803  0.4161  1 Pd 2.34, 1 Au 2.34
Au  0.4934  0.2481  0.7304  4 Cl 2.31-2.35
Cl  0.9660  0.4188  0.8103  1 Au 2.30, 1 Pd 2.34
Cl  0.6693  0.1182  0.5432  1 Pd 2.33, 1 Au 2.35
Cl  0.0415  0.5507  0.4327  1 Au 2.30
Cl  0.0492  0.2503  0.4426  1 Au 2.29
Cl  0.2580  0.7503  0.9426  1 Au 2.29
Au  0.5281  0.7481  0.2304  4 Cl 2.31-2.35
Au  0.7539  0.5870  0.7421  2 Cl 2.30-2.31
Cl  0.0313  0.2510  0.1594  2 Au 2.31-2.38

(9)
Below is an optimized crystal structure of Na2Pb, with properties calculated at the GGA-PBE level.

Output
Its calculated formation energy is 0.00 eV/atom. The calculation puts the calculated total energy at -2.1105 eV per atom. As for the total magnetization: 0.00 Bohr magnetons per cell.

abc: 6.3249 6.3249 6.3249
angles: 60.00 60.00 60.00
Last column: nearest neighbours and their distance in Å.
Fractional positions:
Na  0.6250  0.1250  0.6250  6 Na 3.16
Pb  0.2500  0.2500  0.2500  12 Na 3.71, 4 Pb 3.87
Pb  0.0000  0.0000  0.0000  12 Na 3.71, 4 Pb 3.87
Na  0.6250  0.6250  0.6250  6 Na 3.16
Na  0.1250  0.6250  0.6250  6 Na 3.16
Na  0.6250  0.6250  0.1250  6 Na 3.16

(10)
Below is an optimized crystal structure of CaMg2Tc, with properties calculated at the GGA-PBE level.

Output
Its calculated formation energy is 0.33 eV/atom. The calculation puts the calculated total energy at -3.5546 eV per atom. For the relative energy among the computed polymorphs, the calculation gives 0.047 eV/atom. As for the total magnetization: 1.19 Bohr magnetons per cell.

abc: 6.0391 6.0391 6.0391
angles: 147.97 130.16 60.48
Last column: nearest neighbours and their distance in Å.
Fractional positions:
Tc  0.7500  0.2500  0.5000  4 Mg 2.78, 4 Ca 3.04
Mg  0.5364  0.5364  0.0000  2 Tc 2.78
Ca  0.2500  0.7500  0.5000  4 Tc 3.04, 2 Ca 3.33, 4 Mg 3.38
Mg  0.9636  0.9636  0.0000  2 Tc 2.78

(11)
Below is an optimized crystal structure of V2OsWN, with properties calculated at the GGA-PBE level.

Output
The calculation puts the calculated total energy at -10.5139 eV per atom. Its formation energy from raw total energies is -0.365 eV per atom. As for the total magnetization: 0.00 Bohr magnetons per cell.

abc: 3.9395 3.9395 4.0790
angles: 90.00 90.00 90.00
Last column: nearest neighbours and their distance in Å.
Fractional positions:
V  0.0000  0.5000  0.0000  2 N 1.97
W  0.0000  0.0000  0.5000  2 N 2.04
N  0.0000  0.0000  0.0000  4 V 1.97, 2 W 2.04
Os  0.5000  0.5000  0.5000  4 W 2.79, 8 V 2.84
V  0.5000  0.0000  0.0000  2 N 1.97